VASP calculation (PBE) on an optimized crystal structure of Ca3Sc2Bi4.

Properties
VASP energy, eV/atom: -4.49
Magnetic moment, μB per formula unit: 0.000
Formation enthalpy at 0 K, meV per atom: -688

a b c (Å): 14.5238 4.9244 10.1802
angles (deg): 90.00 129.70 90.00
Last column: nearest neighbours and their distance in Å.
Space group C2/m (No. 12)
Asymmetric unit:
Ca 0.0000 0.0000 0.0000  6 Bi 3.20-3.56, 4 Sc 3.49
Ca 0.1518 0.5000 0.7261  3 Bi 3.18-3.29
Sc 0.1402 0.5000 0.3162  4 Bi 2.94-3.08
Bi 0.0843 0.0000 0.4137  3 Sc 2.96-3.08
Bi 0.1593 0.5000 0.0452  1 Sc 2.94, 5 Ca 3.18-3.29


VASP calculation (PBE) on an optimized crystal structure of Ca5ScBi4.

Properties
VASP energy, eV/atom: -3.87
Magnetic moment, μB per formula unit: 0.980
Formation enthalpy at 0 K, meV per atom: -684

a b c (Å): 18.6013 4.7908 8.1556
angles (deg): 90.00 100.26 90.00
Last column: nearest neighbours and their distance in Å.
Space group C2/m (No. 12)
Asymmetric unit:
Ca 0.0000 0.0000 0.0000  4 Bi 3.30
Ca 0.1533 0.5000 0.4714  5 Bi 3.24-3.51
Ca 0.1724 0.5000 0.9827  4 Bi 3.10-3.31
Sc 0.0000 0.0000 0.5000  4 Bi 3.06
Bi 0.0243 0.5000 0.7375  2 Sc 3.06, 3 Ca 3.10-3.30
Bi 0.1944 0.0000 0.2375  6 Ca 3.15-3.36


VASP calculation (PBE) on an optimized crystal structure of Ca3ScBi2.

Properties
VASP energy, eV/atom: -3.98
Magnetic moment, μB per formula unit: 1.334
Formation enthalpy at 0 K, meV per atom: -630

a b c (Å): 6.7018 16.9879 6.5681
angles (deg): 90.00 90.00 90.00
Last column: nearest neighbours and their distance in Å.
Space group Ibam (No. 72)
Asymmetric unit:
Ca 0.0000 0.0000 0.2500  4 Bi 3.27, 2 Ca 3.28, 2 Sc 3.35
Ca 0.2456 0.3265 0.0000  5 Bi 3.32-3.52
Sc 0.0000 0.5000 0.2500  4 Bi 3.20, 2 Sc 3.28, 2 Ca 3.35
Bi 0.2399 0.3688 0.5000  2 Sc 3.20, 7 Ca 3.27-3.52